(1)
Below is a relaxed structure of Al11Cu9Ni4, with properties calculated at the GGA-PBE level.

Values from the calculation:
- DFT formation energy: -725 kJ/mol of formula units
- E: -4.528 eV per atom

Cell lengths 2.7799, 11.0565, 11.0565 Å; angles 112.48, 90.00, 90.00 degrees
Fractional positions:
1 Al 0.0000 0.7070 0.7070
2 Al 0.0000 0.5874 0.9381
3 Al 0.0000 0.2930 0.2930
4 Al 0.0000 0.4126 0.0619
5 Al 0.0000 0.0000 0.0000
6 Al 0.0000 0.6375 0.3625
7 Al 0.0000 0.3625 0.6375
8 Al 0.0000 0.9381 0.5874
9 Al 0.0000 0.8398 0.1602
10 Al 0.0000 0.0619 0.4126
11 Al 0.0000 0.1602 0.8398
12 Cu 0.5000 0.3642 0.8474
13 Cu 0.5000 0.2116 0.0647
14 Cu 0.5000 0.8474 0.3642
15 Cu 0.5000 0.9353 0.7884
16 Cu 0.5000 0.0647 0.2116
17 Cu 0.5000 0.7884 0.9353
18 Cu 0.5000 0.6358 0.1526
19 Cu 0.5000 0.5000 0.5000
20 Cu 0.5000 0.1526 0.6358
21 Ni 0.5000 0.4494 0.2498
22 Ni 0.5000 0.2498 0.4494
23 Ni 0.5000 0.7502 0.5506
24 Ni 0.5000 0.5506 0.7502



(2)
Below is a relaxed structure of LaPr2Br, with properties calculated at the GGA-PBE level.

Values from the calculation:
- Formation energy from raw total energies: -2.17 eV per formula unit
- Relative energy among the computed polymorphs: 0.046 eV per atom
- E: -4.581 eV per atom

Cell lengths 3.7918, 3.7918, 11.0137 Å; angles 80.09, 80.09, 60.00 degrees
Each line ends with the local moment (μB).
Fractional positions:
1 Br 0.6666 0.6666 0.0001  0.00
2 La 0.5000 0.5000 0.5000  0.14
3 Pr 0.2598 0.2598 0.2206  0.07
4 Pr 0.0736 0.0736 0.7793  0.07



(3)
Below is a relaxed structure of Na2Ga4Ir, with properties calculated at the GGA-PBE level.

Values from the calculation:
- DFT formation energy: -44 kJ/mol of formula units
- E: -3.437 eV per atom

Cell lengths 4.8073, 4.8073, 8.2598 Å; angles 73.08, 73.08, 90.00 degrees
Fractional positions:
1 Ga 0.8317 0.8317 0.3365
2 Ga 0.5000 0.0000 0.0000
3 Ga 0.1683 0.1683 0.6635
4 Ga 0.0000 0.5000 0.0000
5 Na 0.6434 0.6434 0.7133
6 Na 0.3566 0.3566 0.2867
7 Ir 0.0000 0.0000 0.0000



(4)
Below is a relaxed structure of CaMg2, with properties calculated at the GGA-PBE level.

Values from the calculation:
- DFT formation energy: 164 kJ/mol of formula units
- E: -1.162 eV per atom

Cell lengths 7.6627, 7.6627, 7.6627 Å; angles 90.00, 90.00, 90.00 degrees
Fractional positions:
1 Ca 0.5000 0.0000 0.5000
2 Ca 0.5000 0.5000 0.0000
3 Ca 0.0000 0.0000 0.0000
4 Ca 0.0000 0.5000 0.5000
5 Mg 0.8850 0.1150 0.6150
6 Mg 0.3850 0.1150 0.8850
7 Mg 0.6150 0.8850 0.1150
8 Mg 0.8850 0.3850 0.1150
9 Mg 0.6150 0.6150 0.6150
10 Mg 0.3850 0.3850 0.3850
11 Mg 0.1150 0.6150 0.8850
12 Mg 0.1150 0.8850 0.3850



(5)
Below is a relaxed structure of Cd2FePd9, with properties calculated at the GGA-PBE level.

Values from the calculation:
- DFT formation energy: -216 kJ/mol of formula units
- E: -4.939 eV per atom

Cell lengths 3.9852, 3.9852, 11.9607 Å; angles 90.00, 90.00, 90.00 degrees
Each line ends with the local moment (μB).
Fractional positions:
1 Fe 0.0000 0.0000 0.0000  3.28
2 Cd 0.0000 0.0000 0.3294  -0.01
3 Cd 0.0000 0.0000 0.6706  -0.01
4 Pd 0.5000 0.0000 0.8450  0.23
5 Pd 0.5000 0.5000 0.6735  0.07
6 Pd 0.0000 0.5000 0.8450  0.23
7 Pd 0.5000 0.5000 0.3265  0.07
8 Pd 0.5000 0.0000 0.1550  0.23
9 Pd 0.5000 0.5000 0.0000  0.32
10 Pd 0.0000 0.5000 0.1550  0.23
11 Pd 0.0000 0.5000 0.5000  0.03
12 Pd 0.5000 0.0000 0.5000  0.03



(6)
Below is a relaxed structure of KFeRe2, with properties calculated at the GGA-PBE level.

Values from the calculation:
- DFT formation energy: 350 kJ/mol of formula units
- Relative energy among the computed polymorphs: 0.104 eV per atom
- E: -7.707 eV per atom

Cell lengths 3.5010, 2.6236, 8.8398 Å; angles 73.93, 90.00, 90.00 degrees
Each line ends with the local moment (μB).
Fractional positions:
1 Fe 0.5000 0.2500 0.2500  0.56
2 Re 0.0000 0.8914 0.0984  -0.02
3 Re 0.0000 0.6086 0.4016  -0.02
4 K 0.5000 0.7500 0.7500  0.00



| no. | theoretical density (g cm⁻³) |
| --- | --- |
| 1 | 5.8 |
| 2 | 6.2 |
| 3 | 4.9 |
| 4 | 1.3 |
| 5 | 10.8 |
| 6 | 9.9 |